Record 1
LiYMgSi | PBE | optimized geometry

a = 6.778 Å, b = 6.778 Å, c = 6.778 Å
α = 90.00°, β = 90.00°, γ = 90.00°
Space group F-43m (No. 216)
Symmetry-distinct sites (fractional):
1 Li 0.000 0.000 0.000 (multiplicity 4)
2 Y 0.250 0.250 0.250 (multiplicity 4)
3 Mg 0.250 0.250 0.750 (multiplicity 4)
4 Si 0.000 0.000 0.500 (multiplicity 4)

Calculated values
Calculated total energy: -4.09 eV per atom
Magnetic moment: 0.000 μB per formula unit
ΔE_f (raw): -242 meV per atom


Record 2
Pb2S2N | PBE | optimized geometry

a = 6.931 Å, b = 6.931 Å, c = 4.897 Å
α = 90.00°, β = 90.00°, γ = 90.00°
Space group P4/mbm (No. 127)
Symmetry-distinct sites (fractional):
1 Pb 0.224 0.276 0.000 (multiplicity 4)
2 S 0.107 0.607 0.500 (multiplicity 4)
3 N 0.000 0.000 0.000 (multiplicity 2)

Calculated values
Relative energy among the computed polymorphs: 0.0 meV/atom
Calculated total energy: -4.25 eV per atom
Magnetic moment: 0.590 μB per formula unit
ΔE_f (raw): 548 meV per atom


Record 3
TiVCuOs | PBE | optimized geometry

a = 6.081 Å, b = 6.081 Å, c = 6.081 Å
α = 90.00°, β = 90.00°, γ = 90.00°
Space group F-43m (No. 216)
Symmetry-distinct sites (fractional):
1 Ti 0.000 0.000 0.000 (multiplicity 4)
2 V 0.000 0.000 0.500 (multiplicity 4)
3 Cu 0.250 0.250 0.250 (multiplicity 4)
4 Os 0.250 0.250 0.750 (multiplicity 4)

Calculated values
Calculated total energy: -8.28 eV per atom
Energy of formation: -200 meV per atom
Magnetic moment: 0.001 μB per formula unit


> Which of these has the highest calculated total energy?

LiYMgSi


> calculated total energy of number 3 (TiVCuOs)?

-8.28 eV per atom


> What is the magnetic moment in the third record?

0.001 μB per formula unit


> What is the magnetic moment in the second record?

0.590 μB per formula unit